(1)
CeNi4 | PBE | relaxed

Results
space group = Pm-3m (221)

a b c (Å): 4.5502 4.5502 4.5502
angles (deg): 90.00 90.00 90.00
Closest atoms and distances in Å follow each position.
Fractional coordinates of all 5 atoms:
Ni 0.5000 0.5000 0.0000  2 Ce 2.28
Ni 0.0000 0.5000 0.5000  2 Ce 2.28
Ni 0.5000 0.0000 0.5000  2 Ce 2.28
Ni 0.0000 0.0000 0.0000  12 Ni 3.22
Ce 0.5000 0.5000 0.5000  6 Ni 2.28

(2)
Ce3Ni | PBE | relaxed

Results
space group = Imm2 (44)

a b c (Å): 3.3453 5.4288 6.0122
angles (deg): 116.84 106.15 90.00
Closest atoms and distances in Å follow each position.
Fractional coordinates of all 4 atoms:
Ce 0.6973 0.0390 0.3945  2 Ni 2.81, 1 Ce 2.92
Ce 0.3027 0.6444 0.6055  2 Ni 2.81, 1 Ce 2.92
Ce 0.5000 0.4519 0.0000  2 Ni 2.83, 2 Ce 2.92
Ni 0.0000 0.0313 0.0000  6 Ce 2.81-2.83

(3)
Ce3Ni7 | PBE | relaxed

Results
space group = Cmmm (65)

a b c (Å): 4.5123 6.4021 6.2065
angles (deg): 90.00 90.00 110.63
Closest atoms and distances in Å follow each position.
Fractional coordinates of all 10 atoms:
Ni 0.0000 0.5000 0.0000  6 Ni 2.26-2.37
Ni 0.8911 0.7821 0.8033  4 Ni 2.29-2.44
Ni 0.8911 0.7821 0.1967  4 Ni 2.29-2.44
Ni 0.0000 0.0000 0.5000  4 Ni 2.29
Ni 0.5000 0.5000 0.0000  6 Ni 2.26-2.37
Ni 0.1089 0.2179 0.8033  4 Ni 2.29-2.44
Ni 0.1089 0.2179 0.1967  4 Ni 2.29-2.44
Ce 0.5000 0.0000 0.0000  12 Ni 2.88-3.20
Ce 0.6591 0.3182 0.5000  6 Ni 2.95-3.00, 2 Ce 3.14
Ce 0.3409 0.6818 0.5000  6 Ni 2.95-3.00, 2 Ce 3.14

(4)
Ce4Ni | PBE | relaxed

Results
space group = Pm-3m (221)

a b c (Å): 5.2898 5.2898 5.2898
angles (deg): 90.00 90.00 90.00
Closest atoms and distances in Å follow each position.
Fractional coordinates of all 5 atoms:
Ce 0.0000 0.5000 0.5000  2 Ni 2.64
Ce 0.5000 0.5000 0.0000  2 Ni 2.64
Ce 0.5000 0.0000 0.5000  2 Ni 2.64
Ce 0.0000 0.0000 0.0000  12 Ce 3.74
Ni 0.5000 0.5000 0.5000  6 Ce 2.64

(5)
CeNi2 | PBE | relaxed

Results
space group = C2/m (12)

a b c (Å): 3.7700 3.7700 5.9505
angles (deg): 127.55 127.55 78.70
Closest atoms and distances in Å follow each position.
Fractional coordinates of all 3 atoms:
Ce 0.5000 0.5000 0.0000  8 Ni 2.74-2.77
Ni 0.1986 0.1986 0.3431  1 Ni 2.34
Ni 0.8014 0.8014 0.6569  1 Ni 2.34

(6)
CeNi2 | PBE | relaxed

Results
space group = Fd-3m (227)

a b c (Å): 5.0797 5.0797 5.0797
angles (deg): 60.00 60.00 60.00
Closest atoms and distances in Å follow each position.
Fractional coordinates of all 6 atoms:
Ce 0.5000 0.5000 0.5000  12 Ni 2.98, 4 Ce 3.11
Ce 0.7500 0.7500 0.7500  12 Ni 2.98, 4 Ce 3.11
Ni 0.1250 0.1250 0.1250  6 Ni 2.54
Ni 0.1250 0.6250 0.1250  6 Ni 2.54
Ni 0.6250 0.1250 0.1250  6 Ni 2.54
Ni 0.1250 0.1250 0.6250  6 Ni 2.54

(7)
Ce5Ni | PBE | relaxed

Results
space group = Cmmm (65)

a b c (Å): 4.2776 4.2990 7.8167
angles (deg): 105.96 90.00 90.00
Closest atoms and distances in Å follow each position.
Fractional coordinates of all 6 atoms:
Ce 0.5000 0.1573 0.3145  8 Ce 3.04-3.33, 2 Ni 3.19
Ce 0.0000 0.6731 0.3462  10 Ce 3.04-3.37, 2 Ni 3.37
Ce 0.5000 0.8427 0.6855  8 Ce 3.04-3.33, 2 Ni 3.19
Ce 0.0000 0.3269 0.6538  10 Ce 3.04-3.37, 2 Ni 3.37
Ce 0.5000 0.5000 0.0000  4 Ni 3.03, 8 Ce 3.19-3.37
Ni 0.0000 0.0000 0.0000  12 Ce 3.03-3.37

(8)
Ce2Ni3 | PBE | relaxed

Results
space group = Pbcn (60)

a b c (Å): 6.0098 6.7737 8.5986
angles (deg): 90.00 90.00 90.00
Closest atoms and distances in Å follow each position.
Fractional coordinates of all 20 atoms:
Ni 0.8620 0.5217 0.8619  3 Ni 2.54-2.62, 3 Ce 2.75-2.82
Ni 0.3620 0.9783 0.1381  3 Ni 2.54-2.62, 3 Ce 2.75-2.82
Ni 0.6380 0.9783 0.3619  3 Ni 2.54-2.62, 3 Ce 2.75-2.82
Ni 0.8620 0.4783 0.3619  3 Ni 2.54-2.62, 3 Ce 2.75-2.82
Ni 0.5000 0.6399 0.2500  4 Ni 2.62, 4 Ce 2.72-2.81
Ni 0.6380 0.0217 0.8619  3 Ni 2.54-2.62, 3 Ce 2.75-2.82
Ni 0.0000 0.8601 0.7500  4 Ni 2.62, 4 Ce 2.72-2.81
Ni 0.3620 0.0217 0.6381  3 Ni 2.54-2.62, 3 Ce 2.75-2.82
Ni 0.1380 0.5217 0.6381  3 Ni 2.54-2.62, 3 Ce 2.75-2.82
Ni 0.1380 0.4783 0.1381  3 Ni 2.54-2.62, 3 Ce 2.75-2.82
Ni 0.5000 0.3601 0.7500  4 Ni 2.62, 4 Ce 2.72-2.81
Ni 0.0000 0.1399 0.2500  4 Ni 2.62, 4 Ce 2.72-2.81
Ce 0.1508 0.1993 0.9058  6 Ni 2.72-2.89
Ce 0.1508 0.8007 0.4058  6 Ni 2.72-2.89
Ce 0.8492 0.1993 0.5942  6 Ni 2.72-2.89
Ce 0.3492 0.6993 0.9058  6 Ni 2.72-2.89
Ce 0.6508 0.6993 0.5942  6 Ni 2.72-2.89
Ce 0.3492 0.3007 0.4058  6 Ni 2.72-2.89
Ce 0.6508 0.3007 0.0942  6 Ni 2.72-2.89
Ce 0.8492 0.8007 0.0942  6 Ni 2.72-2.89

For reference, ΔE_f by record: 1256, -100, -211, 170, -188, -376, 54, -332 meV/atom.